Computed, not measured: DyCoIrO6 after structural relaxation at the PBE with a Hubbard U level of DFT.

Calculated values
Calculated total energy in eV per cell: -121.3

Unit cell a=5.4031 b=5.4031 c=8.5430 alpha=90.00 beta=90.00 gamma=120.00
Space group P-31c (No. 163)
Unique sites:
1 Dy 0.3333 0.6667 0.2500 [2 per cell]
2 Co 0.0000 0.0000 0.0000 [2 per cell]
3 Ir 0.3333 0.6667 0.7500 [2 per cell]
4 O 0.0436 0.3632 0.6224 [12 per cell]